1.
Computed, not measured: HfCrAs2Se after structural relaxation at the PBE-GGA level of DFT.

Summary:
Distance to the lowest polymorph of the same formula = 49.90 kJ/mol of atoms
Uncorrected formation energy = 827 meV per atom
Density of states at the Fermi level = 1.20 states/eV/atom
Energy = -28.227 eV for the cell shown

Lattice parameters (Å, degrees): 5.1360 5.1360 5.0425 90.00 90.00 90.00
Last column: nearest neighbours and their distance in Å.
Space group P4/mmm (No. 123)
Symmetry-distinct sites (fractional):
Hf  0.0000  0.0000  0.0000 x1  2 Se 2.52, 4 As 2.57
Cr  0.5000  0.5000  0.5000 x1  8 As 3.60, 4 Se 3.63
As  0.0000  0.5000  0.0000 x2  2 Hf 2.57
Se  0.0000  0.0000  0.5000 x1  2 Hf 2.52

2.
Computed, not measured: Hf2CrSnAs after structural relaxation at the PBE-GGA level of DFT.

Summary:
ΔE_f = 1.31 eV/f.u.
Density of states at the Fermi level = 0.81 states/eV/atom
Energy = -36.870 eV for the cell shown

Lattice parameters (Å, degrees): 4.9397 4.9397 4.4390 90.00 90.00 90.00
Last column: nearest neighbours and their distance in Å.
Space group P4/mmm (No. 123)
Symmetry-distinct sites (fractional):
Hf  0.0000  0.5000  0.0000 x2  2 Cr 2.47
Cr  0.0000  0.0000  0.0000 x1  2 As 2.22, 4 Hf 2.47
Sn  0.5000  0.5000  0.5000 x1  8 Hf 3.32, 4 As 3.49
As  0.0000  0.0000  0.5000 x1  2 Cr 2.22

3.
Computed, not measured: Cr2HgAs after structural relaxation at the PBE-GGA level of DFT.

Summary:
Distance to the lowest polymorph of the same formula = 0.00 kJ/mol of atoms
ΔE_f = 0.78 eV/f.u.
Density of states at the Fermi level = 0.43 states/eV/atom
Energy = -23.414 eV for the cell shown

Lattice parameters (Å, degrees): 2.9636 2.9667 8.0336 90.00 100.57 90.00
Last column: nearest neighbours and their distance in Å.
Space group Pm (No. 6)
Symmetry-distinct sites (fractional):
Cr  0.0000  0.0000  0.0000 x1  4 Cr 2.47, 4 As 2.61
Cr  0.4178  0.5000  0.8347 x1  4 Cr 2.47
Hg  0.7837  0.0000  0.5687 x1  4 Hg 2.96-2.97, 4 Cr 2.97, 2 As 3.29
As  0.5972  0.5000  0.1962 x1  5 Cr 2.61-2.85

4.
Computed, not measured: Cr2HgAs after structural relaxation at the PBE-GGA level of DFT.

Summary:
Distance to the lowest polymorph of the same formula = 32.13 kJ/mol of atoms
ΔE_f = 2.12 eV/f.u.
Density of states at the Fermi level = 1.12 states/eV/atom
Energy = -88.328 eV for the cell shown

Lattice parameters (Å, degrees): 6.6038 6.6038 6.6038 90.00 90.00 90.00
Last column: nearest neighbours and their distance in Å.
Space group F-43m (No. 216)
Symmetry-distinct sites (fractional):
Cr  0.0000  0.0000  0.0000 x4  4 Hg 2.86, 4 Cr 2.86
Cr  0.2500  0.2500  0.2500 x4  4 Cr 2.86, 4 As 2.86
Hg  0.2500  0.2500  0.7500 x4  4 Cr 2.86, 4 As 2.86
As  0.0000  0.0000  0.5000 x4  4 Hg 2.86, 4 Cr 2.86

5.
Computed, not measured: CrHgAs after structural relaxation at the PBE-GGA level of DFT.

Summary:
Distance to the lowest polymorph of the same formula = 0.00 kJ/mol of atoms
ΔE_f = 0.64 eV/f.u.
Density of states at the Fermi level = 0.22 states/eV/atom
Energy = -13.938 eV for the cell shown

Lattice parameters (Å, degrees): 3.5840 3.5840 5.6677 90.00 90.00 120.00
Last column: nearest neighbours and their distance in Å.
Space group P3m1 (No. 156)
Symmetry-distinct sites (fractional):
Cr  0.0000  0.0000  0.0000 x1  3 As 2.45
Hg  0.6667  0.3333  0.3652 x1  3 Cr 2.93, 3 As 3.09
As  0.3333  0.6667  0.7691 x1  3 Cr 2.45

6.
Computed, not measured: Cr2HgAs after structural relaxation at the PBE-GGA level of DFT.

Summary:
Distance to the lowest polymorph of the same formula = 20.59 kJ/mol of atoms
ΔE_f = 1.64 eV/f.u.
Density of states at the Fermi level = 0.64 states/eV/atom
Energy = -45.121 eV for the cell shown

Lattice parameters (Å, degrees): 3.7148 4.9308 7.7044 90.00 90.00 90.00
Last column: nearest neighbours and their distance in Å.
Space group Immm (No. 71)
Symmetry-distinct sites (fractional):
Cr  0.0000  0.0000  0.2152 x4  2 As 2.49
Hg  0.0000  0.5000  0.0000 x2  8 Cr 2.87-2.97, 4 As 3.09
As  0.0000  0.5000  0.5000 x2  4 Cr 2.49

7.
Computed, not measured: Cr2HgAs after structural relaxation at the PBE-GGA level of DFT.

Summary:
Distance to the lowest polymorph of the same formula = 23.56 kJ/mol of atoms
ΔE_f = 1.76 eV/f.u.
Density of states at the Fermi level = 0.72 states/eV/atom
Energy = -89.749 eV for the cell shown

Lattice parameters (Å, degrees): 6.6297 6.6297 6.6297 90.00 90.00 90.00
Last column: nearest neighbours and their distance in Å.
Space group Fm-3m (No. 225)
Symmetry-distinct sites (fractional):
Cr  0.2500  0.2500  0.2500 x8  4 Hg 2.87, 4 As 2.87
Hg  0.0000  0.0000  0.0000 x4  8 Cr 2.87
As  0.0000  0.0000  0.5000 x4  8 Cr 2.87

8.
Computed, not measured: CrHgAs after structural relaxation at the PBE-GGA level of DFT.

Summary:
Distance to the lowest polymorph of the same formula = 3.14 kJ/mol of atoms
ΔE_f = 0.73 eV/f.u.
Density of states at the Fermi level = 0.30 states/eV/atom
Energy = -55.361 eV for the cell shown

Lattice parameters (Å, degrees): 6.3159 6.3159 6.3159 90.00 90.00 90.00
Last column: nearest neighbours and their distance in Å.
Space group F-43m (No. 216)
Symmetry-distinct sites (fractional):
Cr  0.0000  0.0000  0.0000 x4  4 As 2.73, 4 Hg 2.73
Hg  0.2500  0.2500  0.7500 x4  4 Cr 2.73
As  0.2500  0.2500  0.2500 x4  4 Cr 2.73